(1)
# KTbP2Pd4 | Alexandria | GGA-PBE | optimized geometry
data_KTbP2Pd4
_chemical_formula_sum 'K1 Tb1 P2 Pd4'
_symmetry_space_group_name_H-M 'P 4/m m m'
_symmetry_Int_Tables_number 123
_symmetry_space_group_name_Hall '-P 4 2'
_cell_length_a 4.127
_cell_length_b 4.127
_cell_length_c 10.400
_cell_angle_alpha 90.00
_cell_angle_beta 90.00
_cell_angle_gamma 90.00
loop_
_atom_site_label
_atom_site_type_symbol
_atom_site_fract_x
_atom_site_fract_y
_atom_site_fract_z
K1 K 0.000 0.000 0.000
Tb1 Tb 0.000 0.000 0.500
P1 P 0.500 0.500 0.194
Pd1 Pd 0.000 0.500 0.300
# Calculated volume in A^3/atom: 22.14
# Energy relative to the elements in eV/atom: -0.5895
# Crystal system: tetragonal

(2)
# KTcPPd2 | Alexandria | GGA-PBE | optimized geometry
data_KTcPPd2
_chemical_formula_sum 'K1 Tc1 P1 Pd2'
_symmetry_space_group_name_H-M 'P 4/m m m'
_symmetry_Int_Tables_number 123
_symmetry_space_group_name_Hall '-P 4 2'
_cell_length_a 4.685
_cell_length_b 4.685
_cell_length_c 5.235
_cell_angle_alpha 90.00
_cell_angle_beta 90.00
_cell_angle_gamma 90.00
loop_
_atom_site_label
_atom_site_type_symbol
_atom_site_fract_x
_atom_site_fract_y
_atom_site_fract_z
K1 K 0.000 0.000 0.000
Tc1 Tc 0.500 0.500 0.500
P1 P 0.000 0.000 0.500
Pd1 Pd 0.000 0.500 0.000
# Calculated volume in A^3/atom: 22.98
# Energy relative to the elements in eV/atom: 2.3220
# Crystal system: tetragonal

(3)
# KPm3P | Alexandria | GGA-PBE | optimized geometry
data_KPm3P
_chemical_formula_sum 'K1 Pm3 P1'
_symmetry_space_group_name_H-M 'P m -3 m'
_symmetry_Int_Tables_number 221
_symmetry_space_group_name_Hall '-P 4 2 3'
_cell_length_a 5.672
_cell_length_b 5.672
_cell_length_c 5.672
_cell_angle_alpha 90.00
_cell_angle_beta 90.00
_cell_angle_gamma 90.00
loop_
_atom_site_label
_atom_site_type_symbol
_atom_site_fract_x
_atom_site_fract_y
_atom_site_fract_z
K1 K 0.000 0.000 0.000
Pm1 Pm 0.000 0.500 0.500
P1 P 0.500 0.500 0.500
# Calculated volume in A^3/atom: 36.50
# Energy relative to the elements in eV/atom: -0.2127
# Crystal system: cubic

(4)
# KPmP2S8 | Alexandria | GGA-PBE | optimized geometry
data_KPmP2S8
_chemical_formula_sum 'K3 Pm3 P6 S24'
_symmetry_space_group_name_H-M 'R -3'
_symmetry_Int_Tables_number 148
_symmetry_space_group_name_Hall '-R 3'
_cell_length_a 6.2453
_cell_length_b 6.2453
_cell_length_c 27.7317
_cell_angle_alpha 90.00
_cell_angle_beta 90.00
_cell_angle_gamma 120.00
loop_
_atom_site_label
_atom_site_type_symbol
_atom_site_fract_x
_atom_site_fract_y
_atom_site_fract_z
K1 K 0.0000 0.0000 0.0000
Pm1 Pm 0.0000 0.0000 0.5000
P1 P 0.0000 0.0000 0.2464
S1 S 0.0000 0.0000 0.3197
S2 S 0.0016 0.3785 0.5587
# Calculated volume in A^3/atom: 26.02
# Formation energy (no corrections) in eV/f.u.: -7.07
# Crystal system: trigonal

(5)
# K2PmP2S6 | Alexandria | GGA-PBE | optimized geometry
data_K2PmP2S6
_chemical_formula_sum 'K6 Pm3 P6 S18'
_symmetry_space_group_name_H-M 'R -3 m'
_symmetry_Int_Tables_number 166
_symmetry_space_group_name_Hall '-R 3 2"'
_cell_length_a 7.0111
_cell_length_b 7.0111
_cell_length_c 21.1663
_cell_angle_alpha 90.00
_cell_angle_beta 90.00
_cell_angle_gamma 120.00
loop_
_atom_site_label
_atom_site_type_symbol
_atom_site_fract_x
_atom_site_fract_y
_atom_site_fract_z
K1 K 0.0000 0.0000 0.2204
Pm1 Pm 0.0000 0.0000 0.0000
P1 P 0.0000 0.0000 0.4447
S1 S 0.9998 0.4999 0.2418
# Calculated volume in A^3/atom: 27.30
# Formation energy (no corrections) in eV/f.u.: -9.61
# Crystal system: trigonal

(6)
# KPrP2Pt4 | Alexandria | GGA-PBE | optimized geometry
data_KPrP2Pt4
_chemical_formula_sum 'K1 Pr1 P2 Pt4'
_symmetry_space_group_name_H-M 'P 4/m m m'
_symmetry_Int_Tables_number 123
_symmetry_space_group_name_Hall '-P 4 2'
_cell_length_a 4.063
_cell_length_b 4.063
_cell_length_c 10.890
_cell_angle_alpha 90.00
_cell_angle_beta 90.00
_cell_angle_gamma 90.00
loop_
_atom_site_label
_atom_site_type_symbol
_atom_site_fract_x
_atom_site_fract_y
_atom_site_fract_z
K1 K 0.000 0.000 0.000
Pr1 Pr 0.000 0.000 0.500
P1 P 0.500 0.500 0.182
Pt1 Pt 0.000 0.500 0.290
# Calculated volume in A^3/atom: 22.47
# Energy relative to the elements in eV/atom: -0.7025
# Crystal system: tetragonal

(7)
# KPrP2S8 | Alexandria | GGA-PBE | optimized geometry
data_KPrP2S8
_chemical_formula_sum 'K1 Pr1 P2 S8'
_symmetry_space_group_name_H-M 'P -3'
_symmetry_Int_Tables_number 147
_symmetry_space_group_name_Hall '-P 3'
_cell_length_a 6.1971
_cell_length_b 6.1971
_cell_length_c 9.6608
_cell_angle_alpha 90.00
_cell_angle_beta 90.00
_cell_angle_gamma 120.00
loop_
_atom_site_label
_atom_site_type_symbol
_atom_site_fract_x
_atom_site_fract_y
_atom_site_fract_z
K1 K 0.0000 0.0000 0.0000
Pr1 Pr 0.0000 0.0000 0.5000
P1 P 0.3333 0.6667 0.7413
S1 S 0.0012 0.6298 0.3178
S2 S 0.3333 0.6667 0.9523
# Calculated volume in A^3/atom: 26.78
# Formation energy (no corrections) in eV/f.u.: -6.93
# Crystal system: trigonal

(8)
# KPrP2Se6 | Alexandria | GGA-PBE | optimized geometry
data_KPrP2Se6
_chemical_formula_sum 'K4 Pr4 P8 Se24'
_symmetry_space_group_name_H-M 'P 1 21/c 1'
_symmetry_Int_Tables_number 14
_symmetry_space_group_name_Hall '-P 2ybc'
_cell_length_a 12.741
_cell_length_b 7.907
_cell_length_c 11.941
_cell_angle_alpha 90.00
_cell_angle_beta 109.14
_cell_angle_gamma 90.00
loop_
_atom_site_label
_atom_site_type_symbol
_atom_site_fract_x
_atom_site_fract_y
_atom_site_fract_z
K1 K 0.126 0.086 0.368
Pr1 Pr 0.353 0.601 0.596
P1 P 0.215 0.618 0.269
P2 P 0.329 0.094 0.755
Se1 Se 0.117 0.517 0.374
Se2 Se 0.136 0.716 0.087
Se3 Se 0.222 0.214 0.138
Se4 Se 0.330 0.686 0.869
Se5 Se 0.414 0.189 0.937
Se6 Se 0.452 0.533 0.185
# Calculated volume in A^3/atom: 28.41
# Formation energy (no corrections) in eV/f.u.: -8.20
# Crystal system: monoclinic

(9)
# K3PPt2 | Alexandria | GGA-PBE | optimized geometry
data_K3PPt2
_chemical_formula_sum 'K12 P4 Pt8'
_symmetry_space_group_name_H-M 'C 1 2/c 1'
_symmetry_Int_Tables_number 15
_symmetry_space_group_name_Hall '-C 2yc'
_cell_length_a 10.135
_cell_length_b 9.895
_cell_length_c 7.606
_cell_angle_alpha 90.00
_cell_angle_beta 98.04
_cell_angle_gamma 90.00
loop_
_atom_site_label
_atom_site_type_symbol
_atom_site_fract_x
_atom_site_fract_y
_atom_site_fract_z
K1 K 0.000 0.134 0.250
K2 K 0.189 0.436 0.001
P1 P 0.000 0.201 0.750
Pt1 Pt 0.180 0.233 0.625
# Calculated volume in A^3/atom: 31.47
# Energy relative to the elements in eV/atom: -0.3713
# Crystal system: monoclinic

(10)
# K6P2Pt | Alexandria | GGA-PBE | optimized geometry
data_K6P2Pt
_chemical_formula_sum 'K18 P6 Pt3'
_symmetry_space_group_name_H-M 'R -3 m'
_symmetry_Int_Tables_number 166
_symmetry_space_group_name_Hall '-R 3 2"'
_cell_length_a 5.7084
_cell_length_b 5.7084
_cell_length_c 30.1038
_cell_angle_alpha 90.00
_cell_angle_beta 90.00
_cell_angle_gamma 120.00
loop_
_atom_site_label
_atom_site_type_symbol
_atom_site_fract_x
_atom_site_fract_y
_atom_site_fract_z
K1 K 0.0000 0.0000 0.0844
K2 K 0.0000 0.0000 0.1995
K3 K 0.0000 0.0000 0.3134
P1 P 0.0000 0.0000 0.4206
Pt1 Pt 0.0000 0.0000 0.5000
# Calculated volume in A^3/atom: 31.46
# Energy relative to the elements in eV/atom: -0.2698
# Energy above the most stable polymorph in this dataset in eV/atom: 0.0000
# Crystal system: trigonal

(11)
# K2PPt2 | Alexandria | GGA-PBE | optimized geometry
data_K2PPt2
_chemical_formula_sum 'K4 P2 Pt4'
_symmetry_space_group_name_H-M 'P 4/m b m'
_symmetry_Int_Tables_number 127
_symmetry_space_group_name_Hall '-P 4 2ab'
_cell_length_a 6.327
_cell_length_b 6.327
_cell_length_c 5.520
_cell_angle_alpha 90.00
_cell_angle_beta 90.00
_cell_angle_gamma 90.00
loop_
_atom_site_label
_atom_site_type_symbol
_atom_site_fract_x
_atom_site_fract_y
_atom_site_fract_z
K1 K 0.173 0.327 0.000
P1 P 0.000 0.000 0.500
Pt1 Pt 0.156 0.656 0.500
# Calculated volume in A^3/atom: 22.09
# Energy relative to the elements in eV/atom: -0.2479
# Energy above the most stable polymorph in this dataset in eV/atom: 0.1655
# Crystal system: tetragonal

(12)
# KPPt2 | Alexandria | GGA-PBE | optimized geometry
data_KPPt2
_chemical_formula_sum 'K1 P1 Pt2'
_symmetry_space_group_name_H-M 'P 1 2/m 1'
_symmetry_Int_Tables_number 10
_symmetry_space_group_name_Hall '-P 2y'
_cell_length_a 2.889
_cell_length_b 3.708
_cell_length_c 7.886
_cell_angle_alpha 90.00
_cell_angle_beta 99.28
_cell_angle_gamma 90.00
loop_
_atom_site_label
_atom_site_type_symbol
_atom_site_fract_x
_atom_site_fract_y
_atom_site_fract_z
K1 K 0.000 0.000 0.000
P1 P 0.500 0.000 0.500
Pt1 Pt 0.366 0.500 0.670
# Calculated volume in A^3/atom: 20.84
# Energy relative to the elements in eV/atom: -0.0138
# Crystal system: monoclinic